# 1
An optimized crystal structure of TaTiRhSe2. Source: Alexandria, functional GGA-PBE.

abc: 4.6967 4.8801 4.6967
angles: 90.00 90.00 90.00
Atoms (fractional coordinates):
1 Ti 0.0000 0.0000 0.0000
2 Rh 0.5000 0.5000 0.5000
3 Se 0.0000 0.0000 0.5000
4 Se 0.5000 0.0000 0.0000
5 Ta 0.0000 0.5000 0.0000

Values from the calculation:
Space-group type = No. 123
Total energy = -0.2189 Ha/atom
Volume = 107.65 Å³/f.u.
M_tot = 0.00 μB per atom
Crystal system = tetragonal
Raw formation energy = 858 meV per atom

=====

# 2
An optimized crystal structure of VZnTe2Br. Source: Alexandria, functional GGA-PBE.

abc: 5.8916 4.5488 5.8916
angles: 90.00 90.00 90.00
Last column: magnetic moment on the atom in μB.
Atoms (fractional coordinates):
1 Zn 0.5000 0.5000 0.5000  0.04
2 Te 0.0000 0.0000 0.5000  0.03
3 Te 0.5000 0.0000 0.0000  -0.03
4 Br 0.0000 0.0000 0.0000  -0.03
5 V 0.0000 0.5000 0.0000  0.61

Values from the calculation:
Space-group type = No. 123
Total energy = -0.0949 Ha/atom
Volume = 157.89 Å³/f.u.
M_tot = 0.15 μB per atom
Crystal system = tetragonal
Raw formation energy = 1087 meV per atom

=====

# 3
An optimized crystal structure of LaPm2ScSe4. Source: Alexandria, functional GGA-PBE.

abc: 4.1106 7.2497 7.2080
angles: 108.88 90.00 90.00
Atoms (fractional coordinates):
1 La 0.5000 0.5000 0.0000
2 Pm 0.5000 0.0000 0.5000
3 Pm 0.0000 0.5000 0.5000
4 Sc 0.0000 0.0000 0.0000
5 Se 0.5000 0.2302 0.2346
6 Se 0.5000 0.7698 0.7654
7 Se 0.0000 0.2360 0.7540
8 Se 0.0000 0.7640 0.2460

Values from the calculation:
Space-group type = No. 10
Total energy = -0.2247 Ha/atom
Volume = 203.24 Å³/f.u.
M_tot = 0.00 μB per atom
Crystal system = monoclinic
Raw formation energy = -1778 meV per atom

=====

# 4
An optimized crystal structure of SmBRh3. Source: Alexandria, functional GGA-PBE.

abc: 4.2384 4.2384 4.2384
angles: 90.00 90.00 90.00
Atoms (fractional coordinates):
1 Sm 0.0000 0.0000 0.0000
2 B 0.5000 0.5000 0.5000
3 Rh 0.5000 0.5000 0.0000
4 Rh 0.5000 0.0000 0.5000
5 Rh 0.0000 0.5000 0.5000

Values from the calculation:
Space-group type = No. 221
Total energy = -0.2730 Ha/atom
DFT formation energy = -0.74 eV/atom
Volume = 76.14 Å³/f.u.
M_tot = 0.00 μB per atom
Crystal system = cubic

=====

# 5
An optimized crystal structure of Na4Pa3InN8. Source: Alexandria, functional GGA-PBE.

abc: 6.8811 7.0032 7.0543
angles: 119.62 119.19 90.00
Last column: magnetic moment on the atom in μB.
Atoms (fractional coordinates):
1 Na 0.5000 0.0000 0.0000  0.00
2 Na 0.5000 0.0000 0.5000  0.00
3 Na 0.0000 0.0000 0.0000  0.00
4 Na 0.0000 0.0000 0.5000  0.00
5 Pa 0.5000 0.5000 0.0000  0.09
6 Pa 0.5000 0.5000 0.5000  0.02
7 Pa 0.0000 0.5000 0.5000  0.02
8 In 0.0000 0.5000 0.0000  0.00
9 N 0.2424 0.6971 0.9631  0.11
10 N 0.2459 0.7000 0.4917  0.03
11 N 0.2686 0.3108 0.5372  0.02
12 N 0.7207 0.6971 0.9631  0.11
13 N 0.2793 0.3029 0.0369  0.11
14 N 0.7314 0.6892 0.4628  0.02
15 N 0.7541 0.3000 0.5083  0.03
16 N 0.7576 0.3029 0.0369  0.11

Values from the calculation:
Space-group type = No. 12
Total energy = -0.2642 Ha/atom
Volume = 244.62 Å³/f.u.
M_tot = 0.06 μB per atom
Crystal system = monoclinic
Raw formation energy = -744 meV per atom

=====

# 6
An optimized crystal structure of NdCoP2Rh2. Source: Alexandria, functional GGA-PBE.

abc: 4.2732 4.2732 5.4678
angles: 90.00 90.00 90.00
Atoms (fractional coordinates):
1 Nd 0.0000 0.0000 0.5000
2 Co 0.0000 0.0000 0.0000
3 P 0.5000 0.0000 0.0000
4 P 0.0000 0.5000 0.0000
5 Rh 0.5000 0.5000 0.7510
6 Rh 0.5000 0.5000 0.2490

Values from the calculation:
Space-group type = No. 123
Total energy = -0.2463 Ha/atom
DFT formation energy = -0.47 eV/atom
Volume = 99.84 Å³/f.u.
M_tot = 0.00 μB per atom
Crystal system = tetragonal